3
Lattice="0.0000 3.1370 3.1370 3.1370 0.0000 3.1370 3.1370 3.1370 0.0000" Properties=species:S:1:pos:R:3 comment="PaCuSi (PBE, optimized geometry)" volume_a3_per_atom=20.58 dft_energy_ev_per_atom=-5.747 pbc="T T T"
Pa 0.0000 0.0000 0.0000
Cu 3.1370 3.1370 3.1370
Si 4.7055 4.7055 4.7055

8
Lattice="5.6750 0.0000 0.0000 -2.8375 4.9147 0.0000 0.0000 0.0000 3.5642" Properties=species:S:1:pos:R:3 comment="GdYF6 (PBE, optimized geometry)" volume_a3_per_atom=12.43 dft_energy_ev_per_atom=-6.868 pbc="T T T"
Gd 0.0000 0.0000 0.0000
Y 2.8375 1.6382 1.7821
F -1.9648 3.6986 1.7821
F 0.6168 1.3638 1.7821
F 2.2382 0.2807 0.0000
F 1.9615 2.8360 0.0000
F 1.3480 4.7670 1.7821
F 4.3128 1.7980 0.0000

8
Lattice="3.5668 -5.7421 0.0000 3.5668 5.7421 0.0000 -2.1141 0.0000 5.0537" Properties=species:S:1:pos:R:3 comment="KFeSeS (PBE, optimized geometry)" volume_a3_per_atom=25.88 dft_energy_ev_per_atom=-4.961 pbc="T T T"
K 2.5098 4.1512 2.5269
K 3.5668 -4.1512 0.0000
Fe 3.6339 0.0179 0.0693
Fe 2.5769 -0.0179 2.5961
Se 0.8332 1.3482 3.3439
Se 1.8902 -1.3482 0.8170
S 4.2296 1.1781 1.8131
S 3.1726 -1.1781 4.3399

8
Lattice="4.7108 0.0000 0.0000 0.0000 6.4299 0.0000 0.0000 0.0000 4.8522" Properties=species:S:1:pos:R:3 comment="Sc2CuAu (PBE, optimized geometry)" volume_a3_per_atom=18.37 relative_energy_ev_per_atom=0.0073 dft_energy_ev_per_atom=-5.451 pbc="T T T"
Sc 1.1777 6.4296 1.1198
Sc 1.1777 3.2152 1.1198
Sc 3.5331 0.0003 3.7324
Sc 3.5331 3.2147 3.7324
Cu 1.1777 1.6075 3.4053
Cu 3.5331 4.8224 1.4469
Au 1.1777 4.8224 3.4443
Au 3.5331 1.6075 1.4078

8
Lattice="4.3396 0.0000 0.0000 0.0000 8.0614 0.0000 0.0000 0.0000 6.1938" Properties=species:S:1:pos:R:3 comment="LaNdAsO (PBE, optimized geometry)" volume_a3_per_atom=27.08 relative_energy_ev_per_atom=0.0000 dft_energy_ev_per_atom=-6.784 pbc="T T T"
La 0.0000 1.6376 0.0000
La 0.0000 6.4237 3.0969
Nd 2.1698 3.1294 3.5224
Nd 2.1698 4.9320 0.4255
As 0.0000 1.3392 3.0597
As 0.0000 6.7221 6.1565
O 2.1698 2.6423 5.8141
O 2.1698 5.4191 2.7172

3
Lattice="0.0000 3.0093 3.0093 3.0093 0.0000 3.0093 3.0093 3.0093 0.0000" Properties=species:S:1:pos:R:3 comment="NpBAu (PBE, optimized geometry)" volume_a3_per_atom=18.17 dft_energy_ev_per_atom=-7.261 pbc="T T T"
Np 0.0000 0.0000 0.0000
B 4.5140 4.5140 4.5140
Au 3.0093 3.0093 3.0093